# 1
Here is a relaxed Ba3Ce2PaSb6 crystal from Alexandria. Energies are from PBE-GGA.

Geometry as extended XYZ:
```
12
Lattice="8.103 -0.001 0.001 -4.051 7.018 0.001 -1.351 -2.339 7.894" Properties=species:S:1:pos:R:3 pbc="T T T"
Ba -2.667 4.659 3.948
Ba 5.368 0.019 3.948
Ba 1.351 2.339 3.948
Ce 0.008 4.674 0.001
Ce 4.045 2.343 0.001
Pa 0.000 0.000 0.000
Sb 4.012 2.412 6.245
Sb 2.746 4.755 1.663
Sb -1.310 2.266 1.651
Sb 0.084 4.680 6.245
Sb -0.045 -0.078 6.233
Sb 2.617 -0.003 1.651
```

Calculated values
* space-group type: No. 12
* mass density: 6.118 g cm⁻³
* E_form (uncorrected): -0.947 eV per atom

=====

# 2
Here is a relaxed Ba2CePaSe6 crystal from Alexandria. Energies are from PBE-GGA.

Geometry as extended XYZ:
```
20
Lattice="7.542 0.000 -0.015 0.000 7.993 0.000 0.047 0.000 10.946" Properties=species:S:1:pos:R:3 pbc="T T T"
Ba 0.190 7.398 2.735
Ba 3.985 4.591 8.200
Ba 7.399 0.595 8.196
Ba 3.604 3.402 2.731
Ce 3.794 0.000 5.466
Ce 0.000 3.997 0.000
Pa 3.771 0.000 -0.007
Pa 0.023 3.997 5.473
Se 2.349 5.638 0.571
Se 6.143 6.352 6.037
Se 5.240 2.355 10.360
Se 1.446 1.641 4.895
Se 2.275 5.539 4.915
Se 6.069 6.451 10.381
Se 5.314 2.454 6.016
Se 1.520 1.542 0.550
Se 6.815 4.199 2.789
Se 3.067 7.791 8.269
Se 0.774 3.794 8.143
Se 4.522 0.202 2.662
```

Calculated values
* space-group type: No. 14
* mass density: 5.635 g cm⁻³
* E_form (uncorrected): -1.789 eV per atom

=====

# 3
Here is a relaxed BaCe4Pb5 crystal from Alexandria. Energies are from PBE-GGA.

Geometry as extended XYZ:
```
10
Lattice="4.233 0.000 0.000 0.000 4.233 0.000 0.000 0.000 17.683" Properties=species:S:1:pos:R:3 pbc="T T T"
Ba 0.000 0.000 0.000
Ce 0.000 0.000 3.978
Ce 0.000 0.000 7.168
Ce 0.000 0.000 10.515
Ce 0.000 0.000 13.705
Pb 2.116 2.116 2.250
Pb 2.116 2.116 5.523
Pb 2.116 2.116 8.841
Pb 2.116 2.116 12.160
Pb 2.116 2.116 15.433
```

Calculated values
* space-group type: No. 123
* mass density: 9.087 g cm⁻³
* E_form: -410 meV per atom

=====

# 4
Here is a relaxed BaCe4Pb4 crystal from Alexandria. Energies are from PBE-GGA.

Geometry as extended XYZ:
```
18
Lattice="-0.283 -6.046 -1.329 9.138 -1.546 5.084 -5.291 -1.727 8.986" Properties=species:S:1:pos:R:3 pbc="T T T"
Ba 0.000 0.000 0.000
Ba 1.782 -4.659 6.371
Ce -1.247 -4.823 9.570
Ce 0.424 -8.144 9.877
Ce 4.846 -3.739 3.337
Ce -2.263 -1.563 5.786
Ce 4.921 -5.833 9.235
Ce 6.074 -2.466 8.117
Ce 2.891 -6.464 1.702
Ce -1.393 -4.242 3.340
Pb 5.629 -5.035 6.143
Pb -2.088 -4.750 6.496
Pb 3.694 -2.670 10.247
Pb -1.705 -7.682 7.532
Pb 5.006 -7.216 3.983
Pb 1.651 -3.590 2.650
Pb 1.934 -5.261 10.193
Pb 0.131 -1.069 3.720
```

Calculated values
* space-group type: No. 86
* mass density: 7.322 g cm⁻³
* E_form: -189 meV per atom

=====

# 5
Here is a relaxed Ba2CePbS5 crystal from Alexandria. Energies are from PBE-GGA.

Geometry as extended XYZ:
```
18
Lattice="-1.207 -2.834 3.039 9.081 0.983 1.444 -2.525 10.468 8.759" Properties=species:S:1:pos:R:3 pbc="T T T"
Ba 3.547 6.639 10.681
Ba -0.123 6.889 6.376
Ba 1.550 3.020 3.432
Ba 5.897 -0.036 5.390
Ce 2.792 3.827 7.759
Ce 3.698 0.059 1.525
Pb -2.327 8.531 10.113
Pb 6.646 4.350 6.698
S 3.768 10.064 10.883
S 0.457 7.827 10.562
S 6.419 7.549 9.591
S 2.895 6.617 7.322
S 5.133 4.210 9.046
S 0.357 3.622 6.600
S 4.137 3.918 5.297
S -1.131 1.319 3.861
S 2.936 -0.002 4.245
S 1.111 0.695 1.089
```

Calculated values
* space-group type: No. 36
* mass density: 4.811 g cm⁻³
* E_form (uncorrected): -1.603 eV per atom

=====

# 6
Here is a relaxed Ba2CePbSe5 crystal from Alexandria. Energies are from PBE-GGA.

Geometry as extended XYZ:
```
18
Lattice="4.493 0.000 0.000 -2.246 9.356 0.000 0.000 0.000 14.047" Properties=species:S:1:pos:R:3 pbc="T T T"
Ba 2.246 6.802 11.288
Ba 0.000 1.896 9.503
Ba 0.000 2.553 4.265
Ba 2.246 7.460 2.480
Ce 2.246 5.336 7.290
Ce 0.000 4.020 0.267
Pb 2.246 0.650 13.414
Pb 0.000 8.706 6.390
Se 0.000 6.857 13.983
Se 2.246 3.540 12.431
Se 0.000 9.171 10.656
Se 0.000 5.171 9.190
Se 2.246 8.088 8.098
Se 2.246 2.498 6.960
Se 0.000 5.815 5.408
Se 2.246 0.184 3.632
Se 2.246 4.185 2.166
Se 0.000 1.267 1.075
```

Calculated values
* space-group type: No. 36
* mass density: 5.719 g cm⁻³
* E_form (uncorrected): -1.542 eV per atom

=====

Results for N(E_F): 8.2 12.9 25.9 39.0 7.8 8.8 (in states/eV per cell, following the order of the records).